PBE-GGA Nd2GaSi4Pd3, relaxed; density = 7.23 g cm⁻³; M_tot = 0.00 μB per formula unit; ΔE_f (raw) = -0.810 eV per atom
1.0
4.2188 0.0000 0.0000
0.0000 4.2188 0.0000
0.0000 0.0000 10.1915
Nd Ga Si Pd
2 1 4 3
direct
0.0000 0.5000 0.2445
0.5000 0.0000 0.7555
0.0000 0.0000 0.5000
0.0000 0.0000 0.0000
0.0000 0.5000 0.6417
0.5000 0.0000 0.3583
0.5000 0.5000 0.0000
0.0000 0.5000 0.8792
0.5000 0.0000 0.1208
0.5000 0.5000 0.5000